# PBE BaSi2Te, relaxed
data_BaSi2Te
_chemical_formula_sum 'Ba2 Si4 Te2'
_space_group_name_H-M_alt 'P 1'
_space_group_IT_number 1
_space_group_name_Hall 'P 1'
_cell_length_a 4.759
_cell_length_b 6.664
_cell_length_c 7.648
_cell_angle_alpha 90.00
_cell_angle_beta 90.00
_cell_angle_gamma 90.00
loop_
_atom_site_label
_atom_site_type_symbol
_atom_site_fract_x
_atom_site_fract_y
_atom_site_fract_z
Ba1 Ba 0.000 0.000 0.000
Ba2 Ba 0.500 0.500 0.500
Si1 Si 0.000 0.000 0.436
Si2 Si 0.000 0.500 0.821
Si3 Si 0.500 0.000 0.321
Si4 Si 0.500 0.500 0.936
Te1 Te 0.000 0.500 0.158
Te2 Te 0.500 0.000 0.658
# Mass density ... 4.40 Mg/m³
# Space group ... No. 44
# Total magnetization ... 0.00 μB/f.u.
# E_form (uncorrected) ... -0.064 eV per atom



# PBE Cd12InHg3, relaxed
data_Cd12InHg3
_chemical_formula_sum 'Cd12 In1 Hg3'
_space_group_name_H-M_alt 'P 1'
_space_group_IT_number 1
_space_group_name_Hall 'P 1'
_cell_length_a 4.531
_cell_length_b 4.531
_cell_length_c 18.068
_cell_angle_alpha 90.00
_cell_angle_beta 90.00
_cell_angle_gamma 90.00
loop_
_atom_site_label
_atom_site_type_symbol
_atom_site_fract_x
_atom_site_fract_y
_atom_site_fract_z
Cd1 Cd 0.000 0.000 0.000
Cd2 Cd 0.000 0.000 0.248
Cd3 Cd 0.000 0.000 0.500
Cd4 Cd 0.000 0.000 0.752
Cd5 Cd 0.000 0.500 0.124
Cd6 Cd 0.000 0.500 0.372
Cd7 Cd 0.000 0.500 0.628
Cd8 Cd 0.000 0.500 0.876
Cd9 Cd 0.500 0.000 0.124
Cd10 Cd 0.500 0.000 0.372
Cd11 Cd 0.500 0.000 0.628
Cd12 Cd 0.500 0.000 0.876
In1 In 0.500 0.500 0.500
Hg1 Hg 0.500 0.500 0.000
Hg2 Hg 0.500 0.500 0.248
Hg3 Hg 0.500 0.500 0.752
# Mass density ... 9.25 Mg/m³
# Energy of formation ... 21.6 meV/atom
# Space group ... No. 123
# Total magnetization ... 0.00 μB/f.u.



# PBE I2Br, relaxed
data_I2Br
_chemical_formula_sum 'I4 Br2'
_space_group_name_H-M_alt 'P 1'
_space_group_IT_number 1
_space_group_name_Hall 'P 1'
_cell_length_a 5.260
_cell_length_b 6.353
_cell_length_c 11.087
_cell_angle_alpha 79.86
_cell_angle_beta 80.99
_cell_angle_gamma 85.97
loop_
_atom_site_label
_atom_site_type_symbol
_atom_site_fract_x
_atom_site_fract_y
_atom_site_fract_z
I1 I 0.000 0.000 0.000
I2 I 0.067 0.248 0.248
I3 I 0.220 0.370 0.455
I4 I 0.394 0.534 0.688
Br1 Br 0.314 0.934 0.583
Br2 Br 0.531 0.011 0.927
# Mass density ... 3.08 Mg/m³
# Space group ... No. 1
# Total magnetization ... 0.00 μB/f.u.
# E_form (uncorrected) ... 0.030 eV per atom